[1]
CdSb2As after structural relaxation, computed with GGA-PBE.

Properties
* energy relative to the lowest polymorph listed for this composition: 60 meV/atom
* DOS at the Fermi energy: 0.420 states/eV/atom
* space-group type: P2/m
* raw formation energy: 0.10 eV per atom

a b c (Å): 3.0446 4.1912 8.3582
angles (deg): 90.00 96.83 90.00
Atoms (fractional coordinates):
Cd 0.0000 0.0000 0.0000
Sb 0.0883 0.5000 0.7394
Sb 0.9117 0.5000 0.2606
As 0.0000 0.0000 0.5000

[2]
MgV after structural relaxation, computed with GGA-PBE.

Properties
* formation enthalpy at 0 K: 628 meV per atom
* DOS at the Fermi energy: 1.535 states/eV/atom
* space-group type: I4/mmm

a b c (Å): 7.5995 7.5995 7.5995
angles (deg): 92.22 92.22 157.32
Atoms (fractional coordinates):
Mg 0.0000 0.3257 0.3257
Mg 0.0000 0.6743 0.6743
Mg 0.3257 0.0000 0.3257
Mg 0.6743 0.0000 0.6743
V 0.3086 0.3086 0.6172
V 0.3086 0.6914 0.0000
V 0.6914 0.3086 0.0000
V 0.6914 0.6914 0.3828

Question: Among the records above, which one has the lowest DOS at the Fermi energy?
Answer: CdSb2As

What did the first record say?
CdSb2As after structural relaxation, computed with GGA-PBE.

Properties
* energy relative to the lowest polymorph listed for this composition: 60 meV/atom
* DOS at the Fermi energy: 0.420 states/eV/atom
* space-group type: P2/m
* raw formation energy: 0.10 eV per atom

a b c (Å): 3.0446 4.1912 8.3582
angles (deg): 90.00 96.83 90.00
Atoms (fractional coordinates):
Cd 0.0000 0.0000 0.0000
Sb 0.0883 0.5000 0.7394
Sb 0.9117 0.5000 0.2606
As 0.0000 0.0000 0.5000

Question: Look up the DOS at the Fermi energy of the first one.
Answer: 0.420 states/eV/atom